[1]
DFT (GGA-PBE) results for a geometry-optimized PaNb2IO8 structure.

Values from the calculation:
Its total energy is -98.31 eV/cell. The volume comes out at 21.33 Å³ per atom. The calculation puts the total magnetic moment at 2.03 μB/cell. Its space group is No. 164.

Cell: 6.1783 6.1783 7.7423 Å, 90.00 90.00 120.00°
Closest atoms and distances in Å follow each position.
Fractional coordinates of all 12 atoms:
Pa1 0.0000 0.0000 0.0000  6 O 2.18
Nb1 0.3333 0.6667 0.7505  4 O 1.78-1.92
Nb2 0.6667 0.3333 0.2495  4 O 1.78-1.92
I1 0.0000 0.0000 0.5000  6 O 3.14
O1 0.1652 0.3304 0.8359  1 Nb 1.92
O2 0.1652 0.8348 0.8359  1 Nb 1.92
O3 0.3304 0.1652 0.1641  1 Nb 1.92
O4 0.3333 0.6667 0.5204  1 Nb 1.78
O5 0.6667 0.3333 0.4796  1 Nb 1.78
O6 0.6696 0.8348 0.8359  1 Nb 1.92
O7 0.8348 0.1652 0.1641  1 Nb 1.92
O8 0.8348 0.6696 0.1641  1 Nb 1.92


[2]
DFT (GGA-PBE) results for a geometry-optimized NdHoCd2 structure.

Values from the calculation:
Its total energy is -12.43 eV/cell. The volume comes out at 27.35 Å³ per atom. The calculation puts the total magnetic moment at 0.57 μB/cell. The energy relative to the elements comes out at -1.3 eV per formula unit. Its space group is No. 225. The polymorph energy (0 for the lowest one) is 0.0010 eV per atom.

Cell: 5.3686 5.3686 5.3686 Å, 60.00 60.00 60.00°
Closest atoms and distances in Å follow each position.
Fractional coordinates of all 4 atoms:
Nd1 0.0000 0.0000 0.0000  8 Cd 3.29
Ho1 0.5000 0.5000 0.5000  8 Cd 3.29
Cd1 0.2500 0.2500 0.2500  4 Ho 3.29, 4 Nd 3.29
Cd2 0.7500 0.7500 0.7500  4 Nd 3.29, 4 Ho 3.29


[3]
DFT (GGA-PBE) results for a geometry-optimized Pa12Si6Tc structure.

Values from the calculation:
Its total energy is -160.73 eV/cell. The volume comes out at 21.00 Å³ per atom. The calculation puts the total magnetic moment at 0.00 μB/cell. Its space group is No. 148.

Cell: 7.3617 7.3617 7.3617 Å, 90.20 90.20 90.20°
Closest atoms and distances in Å follow each position.
Fractional coordinates of all 19 atoms:
Pa1 0.0148 0.3043 0.9197  5 Pa 2.91-3.24, 4 Si 3.04-3.18
Pa2 0.0803 0.9852 0.6957  5 Pa 2.91-3.24, 4 Si 3.04-3.18
Pa3 0.1186 0.3480 0.4499  5 Pa 2.94-3.24, 5 Si 3.04-3.15, 1 Tc 3.04
Pa4 0.3043 0.9197 0.0148  5 Pa 2.91-3.24, 4 Si 3.04-3.18
Pa5 0.3480 0.4499 0.1186  5 Pa 2.94-3.24, 5 Si 3.04-3.15, 1 Tc 3.04
Pa6 0.4498 0.1186 0.3480  5 Pa 2.94-3.24, 5 Si 3.04-3.15, 1 Tc 3.04
Pa7 0.5501 0.8814 0.6520  5 Pa 2.94-3.24, 5 Si 3.04-3.15, 1 Tc 3.04
Pa8 0.6520 0.5501 0.8814  5 Pa 2.94-3.24, 5 Si 3.04-3.15, 1 Tc 3.04
Pa9 0.6957 0.0803 0.9852  5 Pa 2.91-3.24, 4 Si 3.04-3.18
Pa10 0.8814 0.6520 0.5502  5 Pa 2.94-3.24, 5 Si 3.04-3.15, 1 Tc 3.04
Pa11 0.9197 0.0148 0.3043  5 Pa 2.91-3.24, 4 Si 3.04-3.18
Pa12 0.9852 0.6957 0.0803  5 Pa 2.91-3.24, 4 Si 3.04-3.18
Si1 0.2486 0.6065 0.7500  1 Tc 2.73, 2 Si 2.84, 2 Pa 3.04
Si2 0.2500 0.7514 0.3935  1 Tc 2.73, 2 Si 2.84, 2 Pa 3.04
Si3 0.3935 0.2500 0.7514  1 Tc 2.73, 2 Si 2.84, 2 Pa 3.04
Si4 0.6065 0.7500 0.2486  1 Tc 2.73, 2 Si 2.84, 2 Pa 3.04
Si5 0.7500 0.2486 0.6065  1 Tc 2.73, 2 Si 2.84, 2 Pa 3.04
Si6 0.7514 0.3935 0.2500  1 Tc 2.73, 2 Si 2.84, 2 Pa 3.04
Tc1 0.5000 0.5000 0.5000  6 Si 2.73, 6 Pa 3.04


[4]
DFT (GGA-PBE) results for a geometry-optimized SbAs2W structure.

Values from the calculation:
Its total energy is -24.98 eV/cell. The volume comes out at 20.03 Å³ per atom. The calculation puts the total magnetic moment at 0.00 μB/cell. Its space group is No. 160.

Cell: 9.1805 9.1805 9.1805 Å, 20.12 20.12 20.12°
Closest atoms and distances in Å follow each position.
Fractional coordinates of all 4 atoms:
Sb1 0.0000 0.0000 0.0000  3 W 2.85, 3 As 3.17
As1 0.2380 0.2380 0.2380  9 As 3.09-3.21, 3 Sb 3.17
As2 0.4794 0.4794 0.4794  3 W 2.57
W1 0.7468 0.7468 0.7468  3 As 2.57, 3 Sb 2.85